1.
Crystalline Tb3Er2Tl at its relaxed geometry, computed with GGA-PBE.

The structure in POSCAR format:
```
Tb3Er2Tl
1.0
8.648 -3.070 0.000
8.648 3.070 0.000
0.000 0.000 6.994
Tb Er Tl
6 4 2
Direct
0.176 0.824 0.750
0.360 0.360 0.000
0.360 0.360 0.500
0.640 0.640 0.000
0.640 0.640 0.500
0.824 0.176 0.250
0.173 0.201 0.750
0.201 0.173 0.250
0.799 0.827 0.750
0.827 0.799 0.250
0.309 0.691 0.250
0.691 0.309 0.750
```

Results
Space-group type: Cmcm
E (eV for the cell shown): -51.5
Size of the total moment (μB/atom): 0.00

=====

2.
Crystalline Tb2ErTl9 at its relaxed geometry, computed with GGA-PBE.

The structure in POSCAR format:
```
Tb2ErTl9
1.0
4.766 0.000 0.000
0.000 4.766 0.000
0.000 0.000 14.297
Tb Er Tl
2 1 9
Direct
0.000 0.000 0.167
0.000 0.000 0.833
0.000 0.000 0.500
0.000 0.500 0.000
0.000 0.500 0.334
0.000 0.500 0.666
0.500 0.000 0.000
0.500 0.000 0.334
0.500 0.000 0.666
0.500 0.500 0.167
0.500 0.500 0.500
0.500 0.500 0.833
```

Results
Space-group type: P4/mmm
E (eV for the cell shown): -37.9
Size of the total moment (μB/atom): 0.00

=====

3.
Crystalline Tb9ErTl2 at its relaxed geometry, computed with GGA-PBE.

The structure in POSCAR format:
```
Tb9ErTl2
1.0
4.884 0.000 0.000
0.000 4.884 0.000
0.000 0.000 15.004
Tb Er Tl
9 1 2
Direct
0.000 0.000 0.000
0.000 0.000 0.336
0.000 0.000 0.664
0.000 0.500 0.171
0.000 0.500 0.500
0.000 0.500 0.829
0.500 0.000 0.171
0.500 0.000 0.500
0.500 0.000 0.829
0.500 0.500 0.000
0.500 0.500 0.340
0.500 0.500 0.660
```

Results
Space-group type: P4/mmm
E (eV for the cell shown): -52.3
Size of the total moment (μB/atom): 0.00

=====

4.
Crystalline Tb12Er6Tl at its relaxed geometry, computed with GGA-PBE.

The structure in POSCAR format:
```
Tb12Er6Tl
1.0
7.675 4.431 2.878
-7.675 4.431 2.878
0.000 -8.863 2.878
Tb Er Tl
12 6 1
Direct
0.054 0.585 0.372
0.103 0.155 0.735
0.155 0.735 0.103
0.265 0.897 0.845
0.372 0.054 0.585
0.415 0.628 0.946
0.585 0.372 0.054
0.628 0.946 0.415
0.735 0.103 0.155
0.845 0.265 0.897
0.897 0.845 0.265
0.946 0.415 0.628
0.213 0.316 0.473
0.316 0.473 0.213
0.473 0.213 0.316
0.527 0.787 0.684
0.684 0.527 0.787
0.787 0.684 0.527
0.000 0.000 0.000
```

Results
Space-group type: R-3
E (eV for the cell shown): -85.4
Size of the total moment (μB/atom): 0.00

=====

5.
Crystalline Tb6Er5Tl at its relaxed geometry, computed with GGA-PBE.

The structure in POSCAR format:
```
Tb6Er5Tl
1.0
-2.473 4.936 7.485
2.473 -4.936 7.485
2.473 4.936 -7.485
Tb Er Tl
6 5 1
Direct
0.080 0.333 0.747
0.246 0.000 0.246
0.414 0.667 0.747
0.586 0.333 0.253
0.754 0.000 0.754
0.920 0.667 0.253
0.168 0.168 0.000
0.336 0.836 0.500
0.500 0.500 0.000
0.664 0.164 0.500
0.832 0.832 0.000
0.000 0.500 0.500
```

Results
Space-group type: Immm
E (eV for the cell shown): -53.3
Size of the total moment (μB/atom): 0.00

=====

6.
Crystalline Tb8Er3Tl at its relaxed geometry, computed with GGA-PBE.

The structure in POSCAR format:
```
Tb8Er3Tl
1.0
-4.291 4.291 5.671
4.291 -4.291 5.671
4.291 4.291 -5.671
Tb Er Tl
8 3 1
Direct
0.130 0.130 0.745
0.233 0.722 0.000
0.278 0.278 0.511
0.385 0.385 0.255
0.615 0.870 0.000
0.722 0.233 0.000
0.767 0.767 0.489
0.870 0.615 0.000
0.250 0.750 0.500
0.500 0.500 0.000
0.750 0.250 0.500
0.000 0.000 0.000
```

Results
Space-group type: I-42m
E (eV for the cell shown): -46.8
Size of the total moment (μB/atom): 0.00

=====

no.,calculated formation energy (meV/atom)
1,-58
2,-235
3,-114
4,-6
5,-29
6,525